VASP calculation (PBEsol) on a geometry-optimized ZnRe2Ni structure.

a b c (Å): 2.6112 4.1433 5.0049
angles (deg): 90.00 101.03 90.00
Space group Pm (No. 6)
Inequivalent atoms, fractional coordinates:
Zn  0.0000  0.0000  0.0000 (multiplicity 1)
Re  0.4182  0.5000  0.7368 (multiplicity 1)
Re  0.6651  0.0000  0.4809 (multiplicity 1)
Ni  0.0949  0.5000  0.2271 (multiplicity 1)

Output
* uncorrected energy: -8.4950 eV/atom
* DOS(E_F): 3.05 states/eV per cell
* crystal system: monoclinic